! BaF (GGA-PBE, relaxed); values from VASP
&SYSTEM
  ibrav = 0, nat = 4, ntyp = 2
/
ATOMIC_SPECIES
Ba 137.33 Ba.upf
F 19.00 F.upf
CELL_PARAMETERS angstrom
3.892 -2.249 0.000
3.892 2.249 0.000
-2.601 0.000 7.133
ATOMIC_POSITIONS crystal
Ba 0.000 0.000 0.000
Ba 0.500 0.500 0.500
F 0.124 0.124 0.373
F 0.876 0.876 0.627
! E = -9.44 eV/f.u.
! crystal system = monoclinic
! raw formation energy = -545 kJ/mol of formula units